KAlOs2 | GGA-PBE | relaxed

```
KAlOs2
1.0
-1.890 1.884 0.669
-1.782 -1.170 -1.739
-3.080 -5.535 6.878
K Os Al
1 2 1
Direct
0.500 0.500 0.750 K
0.000 0.000 0.055 Os
0.000 0.000 0.445 Os
0.500 0.500 0.250 Al
```

Crystal system: tetragonal
Space-group type: P4/mmm (123)
E_form in eV per atom: 0.71
Electronic total energy in eV/atom: -6.12